First-principles (GGA-PBE) data for a relaxed structure of Li2Tb2PaSe6, as listed in Alexandria.

```
data_Li2Tb2PaSe6
_cell_length_a 7.143
_cell_length_b 12.314
_cell_length_c 6.919
_cell_angle_alpha 90.00
_cell_angle_beta 110.03
_cell_angle_gamma 90.00
_symmetry_space_group_name_H-M 'C 1 2/m 1'
_symmetry_Int_Tables_number 12
_symmetry_space_group_name_Hall '-C 2y'
loop_
_atom_site_label
_atom_site_type_symbol
_atom_site_fract_x
_atom_site_fract_y
_atom_site_fract_z
Li1 Li 0.000 0.169 0.000
Tb1 Tb 0.000 0.335 0.500
Pa1 Pa 0.000 0.000 0.500
Se1 Se 0.242 0.000 0.250
Se2 Se 0.245 0.167 0.750
```

Computed properties:
The energy comes out at -5.539 eV/atom. For the energy relative to the elements, uncorrected, the calculation gives -1.59 eV per atom.